(1)
Density functional theory data (PBE) for an optimized crystal structure of La6MgRu2. Values from VASP.

Structure (Quantum ESPRESSO input):
```
&SYSTEM
  ibrav = 0, nat = 9, ntyp = 3
/
ATOMIC_SPECIES
La 138.91 La.upf
Ru 101.07 Ru.upf
Mg 24.30 Mg.upf
ATOMIC_POSITIONS angstrom
La -0.1937 2.9366 4.6727
La 2.8366 4.8975 7.1149
La 2.2730 5.7005 3.4501
La 1.5015 7.8377 6.9861
La 0.5778 0.7994 1.1367
La -0.7573 3.7396 1.0079
Ru -2.0299 1.8685 3.3823
Ru 4.1092 6.7686 4.7406
Mg 2.9042 2.2683 2.9540
CELL_PARAMETERS angstrom
-0.6136 4.5101 -2.8599
-3.1154 -0.4095 5.0747
5.8083 4.5365 5.9080
```

Results
Energy above the most stable polymorph in this dataset: 0 meV per atom
Energy relative to the elements: -0.203 eV/atom

=====

(2)
Density functional theory data (PBE) for an optimized crystal structure of HoZrHg4. Values from VASP.

Structure (Quantum ESPRESSO input):
```
&SYSTEM
  ibrav = 0, nat = 6, ntyp = 3
/
ATOMIC_SPECIES
Ho 164.93 Ho.upf
Hg 200.59 Hg.upf
Zr 91.22 Zr.upf
ATOMIC_POSITIONS angstrom
Ho 3.1343 2.5803 7.7801
Hg 2.0279 5.1467 1.7776
Hg 3.6916 2.5679 2.7396
Hg 1.4753 5.1582 6.7766
Hg 1.6630 2.5743 4.9970
Zr 3.5072 5.1504 4.4511
CELL_PARAMETERS angstrom
3.5053 -0.0017 0.3929
0.0039 5.1581 -0.0107
0.9131 0.0161 7.7939
```

Results
Energy above the most stable polymorph in this dataset: 23 meV per atom
Energy relative to the elements: -0.177 eV/atom

=====

(3)
Density functional theory data (PBE) for an optimized crystal structure of SrCd3Si. Values from VASP.

Structure (Quantum ESPRESSO input):
```
&SYSTEM
  ibrav = 0, nat = 5, ntyp = 3
/
ATOMIC_SPECIES
Cd 112.41 Cd.upf
Si 28.09 Si.upf
Sr 87.62 Sr.upf
ATOMIC_POSITIONS angstrom
Cd 0.0000 0.0000 2.6432
Cd 0.0000 2.6432 0.0000
Cd 2.6432 0.0000 0.0000
Si 0.0000 0.0000 0.0000
Sr 2.6432 2.6432 2.6432
CELL_PARAMETERS angstrom
5.2864 0.0000 0.0000
0.0000 5.2864 0.0000
0.0000 0.0000 5.2864
```

Results
Energy above the most stable polymorph in this dataset: 0 meV per atom
Energy relative to the elements, uncorrected: 0.099 eV/atom

=====

(4)
Density functional theory data (PBE) for an optimized crystal structure of LaEr4Tm5. Values from VASP.

Structure (Quantum ESPRESSO input):
```
&SYSTEM
  ibrav = 0, nat = 10, ntyp = 3
/
ATOMIC_SPECIES
Er 167.26 Er.upf
Tm 168.93 Tm.upf
La 138.91 La.upf
ATOMIC_POSITIONS angstrom
Er 0.8958 7.9066 4.3774
Er 0.0043 2.7990 -0.0627
Er 3.1929 7.3159 6.7963
Er 2.3014 2.2084 2.3562
Tm 0.4633 5.3542 2.1107
Tm 2.7339 4.7607 4.6229
Tm 2.8534 0.3524 5.2547
Tm 1.6182 5.3622 -1.0894
Tm 0.3438 9.7626 1.4789
La 1.7336 -0.0170 -0.3531
CELL_PARAMETERS angstrom
3.4673 -0.0339 -0.7061
-0.2309 10.7583 -1.4726
-0.0392 -0.6094 8.9124
```

Results
Energy above the most stable polymorph in this dataset: 0 meV per atom
Energy relative to the elements: 0.243 eV/atom

=====

(5)
Density functional theory data (PBE) for an optimized crystal structure of Pr2Al4GaPd3. Values from VASP.

Structure (Quantum ESPRESSO input):
```
&SYSTEM
  ibrav = 0, nat = 10, ntyp = 4
/
ATOMIC_SPECIES
Pd 106.42 Pd.upf
Pr 140.91 Pr.upf
Al 26.98 Al.upf
Ga 69.72 Ga.upf
ATOMIC_POSITIONS angstrom
Pd 4.1610 -4.1199 7.3113
Pd 1.5432 -1.9833 -0.3669
Pd 3.2574 -1.5907 3.7405
Pr 5.5968 -3.9628 4.2879
Pr 0.1074 -2.1404 2.6565
Al 0.0000 0.0000 0.0000
Al 3.0942 -2.7407 1.4141
Al -0.8105 -2.9218 -0.5367
Al 2.6100 -3.3625 5.5303
Ga 2.4469 -4.5125 3.2038
CELL_PARAMETERS angstrom
-3.0726 -2.6754 1.5379
1.4515 -3.1681 -2.6114
6.5147 -3.1815 7.4811
```

Results
Energy relative to the elements: -0.783 eV/atom

=====

(6)
Density functional theory data (PBE) for an optimized crystal structure of TlCr2. Values from VASP.

Structure (Quantum ESPRESSO input):
```
&SYSTEM
  ibrav = 0, nat = 6, ntyp = 2
/
ATOMIC_SPECIES
Cr 52.00 Cr.upf
Tl 204.38 Tl.upf
ATOMIC_POSITIONS angstrom
Cr 2.3301 1.3453 1.4456
Cr 0.0000 0.0000 2.8912
Cr 2.3301 -1.3453 4.3368
Cr 0.0000 0.0000 0.0000
Tl 2.3301 -1.3453 1.4456
Tl 2.3301 1.3453 4.3368
CELL_PARAMETERS angstrom
2.3301 -4.0359 0.0000
2.3301 4.0359 0.0000
0.0000 0.0000 5.7825
```

Results
Energy above the most stable polymorph in this dataset: 205 meV per atom
Energy relative to the elements: 0.645 eV/atom

=====

(7)
Density functional theory data (PBE) for an optimized crystal structure of SiAsN2. Values from VASP.

Structure (Quantum ESPRESSO input):
```
&SYSTEM
  ibrav = 0, nat = 8, ntyp = 3
/
ATOMIC_SPECIES
As 74.92 As.upf
N 14.01 N.upf
Si 28.09 Si.upf
ATOMIC_POSITIONS angstrom
As 0.0000 0.0000 0.0000
As 4.9221 2.4610 2.0175
N 1.7499 3.6916 1.0087
N 3.1721 1.2305 1.0087
N 6.1526 5.6332 3.0262
N 3.6916 4.2110 3.0262
Si 2.4610 2.4610 0.0000
Si 2.4610 4.9221 2.0175
CELL_PARAMETERS angstrom
4.9221 0.0000 0.0000
0.0000 4.9221 0.0000
2.4610 2.4610 4.0350
```

Results
Energy above the most stable polymorph in this dataset: 201 meV per atom
Energy relative to the elements, uncorrected: 0.034 eV/atom

=====

(8)
Density functional theory data (PBE) for an optimized crystal structure of LiErGa2Pt2. Values from VASP.

Structure (Quantum ESPRESSO input):
```
&SYSTEM
  ibrav = 0, nat = 6, ntyp = 4
/
ATOMIC_SPECIES
Ga 69.72 Ga.upf
Pt 195.08 Pt.upf
Er 167.26 Er.upf
Li 6.94 Li.upf
ATOMIC_POSITIONS angstrom
Ga -0.8088 -3.0380 0.6404
Ga 1.6314 -3.6946 3.0384
Pt 0.8014 -5.1004 1.0940
Pt 0.0212 -1.6322 2.5847
Er 0.0000 0.0000 0.0000
Li 1.9270 -2.4681 0.5429
CELL_PARAMETERS angstrom
-0.0375 0.9119 4.2787
-2.9939 -2.7083 -1.6857
3.8540 -4.9362 1.0858
```

Results
Energy relative to the elements: -0.920 eV/atom

=====

(9)
Density functional theory data (PBE) for an optimized crystal structure of BaOs2Rh. Values from VASP.

Structure (Quantum ESPRESSO input):
```
&SYSTEM
  ibrav = 0, nat = 4, ntyp = 3
/
ATOMIC_SPECIES
Os 190.23 Os.upf
Ba 137.33 Ba.upf
Rh 102.91 Rh.upf
ATOMIC_POSITIONS angstrom
Os 0.0000 0.1396 0.7559
Os 2.0349 1.5451 1.6250
Ba 2.0349 2.8037 5.4030
Rh 0.0000 1.4654 3.1915
CELL_PARAMETERS angstrom
4.0699 0.0000 0.0000
0.0000 2.8914 0.1481
0.0000 1.0779 7.1688
```

Results
Energy above the most stable polymorph in this dataset: 331 meV per atom
Energy relative to the elements: 0.644 eV/atom

=====

(10)
Density functional theory data (PBE) for an optimized crystal structure of BaSrLi2Ag. Values from VASP.

Structure (Quantum ESPRESSO input):
```
&SYSTEM
  ibrav = 0, nat = 5, ntyp = 4
/
ATOMIC_SPECIES
Sr 87.62 Sr.upf
Li 6.94 Li.upf
Ag 107.87 Ag.upf
Ba 137.33 Ba.upf
ATOMIC_POSITIONS angstrom
Sr -4.1725 -2.5756 -0.8525
Li -0.0466 -2.7032 -0.5964
Li -1.7109 0.4970 -2.1192
Ag 0.0000 0.0000 0.0000
Ba -2.4150 -0.3694 1.8631
CELL_PARAMETERS angstrom
-3.4218 0.9940 -4.2384
-0.0932 -5.4064 -1.1927
-4.8300 -0.7388 3.7262
```

Results
Energy above the most stable polymorph in this dataset: 158 meV per atom
Energy relative to the elements: 0.086 eV/atom

=====

(11)
Density functional theory data (PBE) for an optimized crystal structure of SmErCS. Values from VASP.

Structure (Quantum ESPRESSO input):
```
&SYSTEM
  ibrav = 0, nat = 4, ntyp = 4
/
ATOMIC_SPECIES
C 12.01 C.upf
Er 167.26 Er.upf
S 32.06 S.upf
Sm 150.36 Sm.upf
ATOMIC_POSITIONS angstrom
C -1.8678 -3.2923 -0.2704
Er 0.7269 -2.5571 -0.0247
S 0.0000 0.0000 0.0000
Sm -2.5947 -0.7352 -0.2457
CELL_PARAMETERS angstrom
-2.8241 -0.8265 2.4510
-2.3652 -0.6439 -2.9424
1.4538 -5.1142 -0.0494
```

Results
Energy relative to the elements, uncorrected: -1.015 eV/atom

=====

(12)
Density functional theory data (PBE) for an optimized crystal structure of Y2ZrInO. Values from VASP.

Structure (Quantum ESPRESSO input):
```
&SYSTEM
  ibrav = 0, nat = 5, ntyp = 4
/
ATOMIC_SPECIES
Y 88.91 Y.upf
O 16.00 O.upf
Zr 91.22 Zr.upf
In 114.82 In.upf
ATOMIC_POSITIONS angstrom
Y 2.4272 0.0000 0.0000
Y 0.0000 2.4272 0.0000
O 0.0000 0.0000 0.0000
Zr 0.0000 0.0000 2.2242
In 2.4272 2.4272 2.2242
CELL_PARAMETERS angstrom
4.8544 0.0000 0.0000
0.0000 4.8544 0.0000
0.0000 0.0000 4.4484
```

Results
Energy relative to the elements, uncorrected: -1.299 eV/atom